CoAs2Os2: optimized geometry, PBE.

Results
As for the electronic total energy: -35.59 eV for the cell shown. The energy of formation from the pure elements comes out at 655 meV/atom. The symmetry is No. 139.

extended XYZ file:
```
5
Lattice="-1.9135 1.9135 5.6393 1.9135 -1.9135 5.6393 1.9135 1.9135 -5.6393" Properties=species:S:1:pos:R:3 pbc="T T T"
Co 0.0000 0.0000 0.0000
As 1.9135 0.0000 2.8196
As 0.0000 1.9135 2.8196
Os 0.0000 0.0000 4.3693
Os 0.0000 0.0000 6.9093
```

Co2As2Os: optimized geometry, PBE.

Results
As for the electronic total energy: -67.42 eV for the cell shown. The energy of formation from the pure elements comes out at 206 meV/atom. The symmetry is No. 127.

extended XYZ file:
```
10
Lattice="6.6894 0.0000 0.0000 0.0000 6.6894 0.0000 0.0000 0.0000 2.9488" Properties=species:S:1:pos:R:3 pbc="T T T"
Co 0.9257 2.4190 0.0000
Co 2.4190 5.7637 0.0000
Co 4.2704 0.9257 0.0000
Co 5.7637 4.2704 0.0000
As 1.0421 4.3868 1.4744
As 2.3026 1.0421 1.4744
As 4.3868 5.6473 1.4744
As 5.6473 2.3026 1.4744
Os 0.0000 0.0000 1.4744
Os 3.3447 3.3447 1.4744
```

CoAsOs3: optimized geometry, PBE.

Results
As for the electronic total energy: -35.98 eV for the cell shown. The energy of formation from the pure elements comes out at 1892 meV/atom. The symmetry is No. 221. Its offset from the most stable computed form is 0 meV/atom.

extended XYZ file:
```
5
Lattice="4.4296 0.0000 0.0000 0.0000 4.4296 0.0000 0.0000 0.0000 4.4296" Properties=species:S:1:pos:R:3 pbc="T T T"
Co 0.0000 0.0000 0.0000
As 2.2148 2.2148 2.2148
Os 0.0000 0.0000 2.2148
Os 0.0000 2.2148 0.0000
Os 2.2148 0.0000 0.0000
```

Co3AsOs: optimized geometry, PBE.

Results
As for the electronic total energy: -31.22 eV for the cell shown. The energy of formation from the pure elements comes out at 1195 meV/atom. The symmetry is No. 221. Its offset from the most stable computed form is 0 meV/atom.

extended XYZ file:
```
5
Lattice="4.2441 0.0000 0.0000 0.0000 4.2441 0.0000 0.0000 0.0000 4.2441" Properties=species:S:1:pos:R:3 pbc="T T T"
Co 0.0000 0.0000 2.1221
Co 0.0000 2.1221 0.0000
Co 2.1221 0.0000 0.0000
As 0.0000 0.0000 0.0000
Os 2.1221 2.1221 2.1221
```

Co3AsOs: optimized geometry, PBE.

Results
As for the electronic total energy: -29.72 eV for the cell shown. The energy of formation from the pure elements comes out at 1495 meV/atom. The symmetry is No. 221. Its offset from the most stable computed form is 300 meV/atom.

extended XYZ file:
```
5
Lattice="4.4431 0.0000 0.0000 0.0000 4.4431 0.0000 0.0000 0.0000 4.4431" Properties=species:S:1:pos:R:3 pbc="T T T"
Co 0.0000 0.0000 2.2215
Co 0.0000 2.2215 0.0000
Co 2.2215 0.0000 0.0000
As 2.2215 2.2215 2.2215
Os 0.0000 0.0000 0.0000
```

CoAsOs3: optimized geometry, PBE.

Results
As for the electronic total energy: -35.43 eV for the cell shown. The energy of formation from the pure elements comes out at 2003 meV/atom. The symmetry is No. 221. Its offset from the most stable computed form is 111 meV/atom.

extended XYZ file:
```
5
Lattice="4.4684 0.0000 0.0000 0.0000 4.4684 0.0000 0.0000 0.0000 4.4684" Properties=species:S:1:pos:R:3 pbc="T T T"
Co 0.0000 0.0000 0.0000
As 2.2342 2.2342 2.2342
Os 0.0000 2.2342 2.2342
Os 2.2342 0.0000 2.2342
Os 2.2342 2.2342 0.0000
```